# 1
Below is BaTe2As after structural relaxation, with properties calculated at the PBE level.

Unit cell a=10.201 b=10.201 c=10.201 alpha=24.34 beta=24.34 gamma=24.34
Last column: magnetic moment on the atom in μB.
Sites, in units of the cell vectors:
Ba1 0.000 0.000 0.000  0.17
Te1 0.114 0.114 0.114  0.00
Te2 0.886 0.886 0.886  0.00
As1 0.500 0.500 0.500  0.00

Summary:
The value obtained for the total energy is -13.704 eV/cell. Its density of states at the Fermi level is 0.23 states/eV per atom.



# 2
Below is Si7Se5 after structural relaxation, with properties calculated at the PBE level.

Unit cell a=7.167 b=7.167 c=7.167 alpha=102.77 beta=102.77 gamma=123.92
Sites, in units of the cell vectors:
Si1 0.429 0.724 0.704
Si2 0.649 0.649 0.000
Si3 0.724 0.020 0.296
Si4 0.020 0.724 0.296
Si5 0.724 0.429 0.704
Si6 0.485 0.985 0.500
Si7 0.985 0.485 0.500
Se1 0.014 0.014 0.000
Se2 0.134 0.701 0.000
Se3 0.134 0.134 0.433
Se4 0.701 0.134 0.000
Se5 0.701 0.701 0.567

Summary:
The value obtained for the total energy is -52.118 eV/cell. Its density of states at the Fermi level is 0.37 states/eV per atom.



Computed values of formation energy (no corrections) (unit: meV per atom) for the preceding records, in sequence: -212.1 272.1.